[1]
The following is a PBE-GGA calculation of a relaxed TmCuTeS crystal, from OQMD via LeMat-Bulk.

Values from the calculation:
The final energy is -79.66 eV for the cell shown.

a b c (Å): 6.275 7.349 7.367
angles (deg): 90.00 92.57 90.00
Element x y z (fractional)
S1 0.927 0.769 0.001
S2 0.073 0.269 0.499
Tm1 0.140 0.521 0.771
Te1 0.372 0.608 0.220
S3 0.073 0.231 0.999
Te2 0.372 0.892 0.720
Cu1 0.576 0.842 0.033
S4 0.927 0.731 0.501
Te3 0.628 0.108 0.280
Cu2 0.424 0.158 0.967
Tm2 0.860 0.479 0.229
Tm3 0.860 0.021 0.729
Te4 0.628 0.392 0.780
Cu3 0.424 0.342 0.467
Tm4 0.140 0.979 0.271
Cu4 0.576 0.658 0.533

---

[2]
The following is a PBE-GGA calculation of a relaxed TmCdInSe3 crystal, from OQMD via LeMat-Bulk.

Values from the calculation:
The final energy is -97.34 eV for the cell shown.

a b c (Å): 4.184 12.557 12.571
angles (deg): 90.00 90.00 90.00
Element x y z (fractional)
Se1 0.750 0.825 0.755
Se2 0.250 0.936 0.412
In1 0.750 0.018 0.154
Se3 0.250 0.325 0.745
Tm1 0.750 0.835 0.531
Se4 0.750 0.325 0.472
In2 0.250 0.982 0.846
Se5 0.750 0.436 0.088
Se6 0.250 0.175 0.245
Se7 0.750 0.064 0.588
Se8 0.250 0.675 0.528
Cd1 0.750 0.187 0.758
Se9 0.750 0.175 0.972
In3 0.750 0.482 0.654
Cd2 0.250 0.813 0.242
In4 0.250 0.518 0.346
Tm2 0.250 0.165 0.469
Cd3 0.250 0.687 0.742
Se10 0.250 0.564 0.912
Se11 0.750 0.675 0.255
Tm3 0.750 0.665 0.031
Tm4 0.250 0.335 0.969
Se12 0.250 0.825 0.028
Cd4 0.750 0.313 0.258

---

[3]
The following is a PBE-GGA calculation of a relaxed NbFeReBi crystal, from OQMD via LeMat-Bulk.

Values from the calculation:
The final energy is -32.72 eV for the cell shown.

a b c (Å): 4.580 4.580 4.580
angles (deg): 60.00 60.00 60.00
Element x y z (fractional)
Nb1 0.500 0.500 0.500
Fe1 0.750 0.750 0.750
Re1 0.250 0.250 0.250
Bi1 0.000 0.000 0.000

---

[4]
The following is a PBE-GGA calculation of a relaxed LuCdNO crystal, from OQMD via LeMat-Bulk.

Values from the calculation:
The final energy is -49.23 eV for the cell shown.

a b c (Å): 3.785 5.539 6.150
angles (deg): 90.00 90.00 90.00
Element x y z (fractional)
O1 0.500 0.906 0.824
N1 0.000 0.882 0.345
Cd1 0.500 0.978 0.192
Lu1 0.000 0.989 0.682
O2 0.500 0.406 0.176
Lu2 0.000 0.489 0.318
N2 0.000 0.382 0.655
Cd2 0.500 0.478 0.808

---

[5]
The following is a PBE-GGA calculation of a relaxed Er6Ni2Ge crystal, from OQMD via LeMat-Bulk.

Values from the calculation:
The final energy is -46.19 eV for the cell shown.

a b c (Å): 7.412 7.412 4.452
angles (deg): 90.00 90.00 120.00
Element x y z (fractional)
Er1 0.595 0.000 0.500
Er2 0.000 0.272 0.000
Er3 0.405 0.405 0.500
Er4 0.000 0.595 0.500
Er5 0.728 0.728 0.000
Ni1 0.667 0.333 0.000
Ge1 0.000 0.000 0.500
Er6 0.272 0.000 0.000
Ni2 0.333 0.667 0.000

---

[6]
The following is a PBE-GGA calculation of a relaxed Sm5U2S crystal, from OQMD via LeMat-Bulk.

Values from the calculation:
The final energy is -45.36 eV for the cell shown.

a b c (Å): 4.384 4.384 13.237
angles (deg): 90.00 90.00 90.00
Element x y z (fractional)
Sm1 0.500 0.000 0.801
U1 0.500 0.500 0.598
U2 0.500 0.500 0.402
Sm2 0.000 0.500 0.199
Sm3 0.000 0.500 0.801
S1 0.000 0.000 0.000
Sm4 0.500 0.500 0.000
Sm5 0.500 0.000 0.199